Entry 1:
Entry from the Alexandria database: a relaxed structure of Fe8Br (PBE).

POSCAR file:
```
Fe8Br
1.0
6.3051 0.6376 -0.3269
-5.3952 -1.1283 3.1442
0.0902 -5.7729 -2.6330
Fe Br
8 1
Cartesian
-3.5094 -4.5654 0.3382
0.3521 -3.8873 -0.7908
-1.7956 -2.3359 0.1730
-1.6165 -0.5580 2.0232
4.2306 -3.3972 -1.9580
0.6480 -2.3764 0.9752
2.1646 -1.7382 -1.0018
2.5264 0.0673 0.7941
0.0000 0.0000 0.0000
```

* space group: I4/mmm, No. 139
* density of states at the Fermi level: 0.87 states/eV/atom
* uncorrected formation energy: 0.280 eV per atom

---

Entry 2:
Entry from the Alexandria database: a relaxed structure of NiOsCl2 (PBE).

POSCAR file:
```
NiOsCl2
1.0
-2.6152 3.7695 -5.7681
-6.4383 2.5995 -2.4719
5.6094 -0.9019 4.6948
Cl Os Ni
2 1 1
Cartesian
-3.5132 2.4715 -3.1976
-1.0135 0.7130 -0.9224
-2.6778 2.4410 -0.9486
-0.7663 3.0260 -2.5967
```

* space group: Immm, No. 71
* ΔE to the lowest computed polymorph: 193.5 meV/atom
* density of states at the Fermi level: 1.09 states/eV/atom
* uncorrected formation energy: 0.400 eV per atom

---

Entry 3:
Entry from the Alexandria database: a relaxed structure of BaCoHRh2 (PBE).

POSCAR file:
```
BaCoHRh2
1.0
4.0339 0.0000 0.0000
0.0000 4.8523 0.0000
0.0000 0.0000 4.0339
Ba Rh Co H
1 2 1 1
Cartesian
0.0000 2.4261 0.0000
0.0000 0.0000 2.0169
2.0169 0.0000 0.0000
2.0169 2.4261 2.0169
0.0000 0.0000 0.0000
```

* space group: P4/mmm, No. 123
* density of states at the Fermi level: 1.38 states/eV/atom
* total energy: -24.5 eV per cell

---

Entry 4:
Entry from the Alexandria database: a relaxed structure of CaMg2 (PBE).

POSCAR file:
```
CaMg2
1.0
-2.8978 2.8978 5.5980
2.8978 -2.8978 5.5980
2.8978 2.8978 -5.5980
Mg Ca
4 2
Cartesian
1.8702 1.0275 0.0000
1.0276 3.9253 0.0000
1.0275 1.8702 5.5980
1.8702 -1.0276 5.5980
0.0000 0.0000 2.7990
0.0000 0.0000 8.3970
```

* space group: I4/mcm, No. 140
* density of states at the Fermi level: 0.69 states/eV/atom
* DFT formation energy: 0.0916 eV/atom

---

Entry 5:
Entry from the Alexandria database: a relaxed structure of Y2Tl2As (PBE).

POSCAR file:
```
Y2Tl2As
1.0
-5.9604 -4.0671 -2.2723
4.5281 -5.9254 -1.2718
-0.7218 -1.5556 4.6778
Tl Y As
4 4 2
Cartesian
-3.8490 -6.3544 -0.0539
-1.8157 -3.0816 1.3483
-0.3384 -8.4665 -0.2145
1.6948 -5.1937 1.1876
1.7890 -6.2771 -1.8114
-1.9310 -7.3426 -2.7398
-3.2213 -3.7154 -1.7327
0.4987 -2.6499 -0.8043
0.0000 0.0000 0.0000
-0.7162 -4.9963 -1.7720
```

* space group: P4/mbm, No. 127
* ΔE to the lowest computed polymorph: 0.0 meV/atom
* density of states at the Fermi level: 0.77 states/eV/atom
* DFT formation energy: -0.5388 eV/atom

---

Entry 6:
Entry from the Alexandria database: a relaxed structure of Pu3GaPt (PBE).

POSCAR file:
```
Pu3GaPt
1.0
4.0458 -0.0065 -0.0040
-2.0369 6.7514 0.2130
-0.0109 0.0136 8.4525
Pu Pt Ga
6 2 2
Cartesian
-0.0765 6.4208 5.4172
1.9363 6.6719 0.3104
-0.0681 1.0626 3.5127
1.9340 1.4579 6.8970
-0.0736 3.6919 0.3513
1.9419 4.0866 3.4041
1.9506 1.9068 1.4924
-0.0828 5.8630 2.3596
1.9427 4.5792 6.5796
-0.0845 3.2390 5.6051
```

* space group: P1, No. 1
* density of states at the Fermi level: 4.27 states/eV/atom
* DFT formation energy: -0.3374 eV/atom

---

Among the records above, which one has the highest density of states at the Fermi level? Pu3GaPt

---

Look up the density of states at the Fermi level of the third one. 1.38 states/eV/atom

---

The lowest density of states at the Fermi level belongs to which entry? CaMg2